A plane-wave DFT calculation with PBE was carried out for a relaxed Nb2InCoN crystal.

Cell: 4.3054 4.3054 3.9681 Å, 90.00 90.00 90.00°
Site moments in Bohr magnetons follow the coordinates.
Fractional coordinates of all 5 atoms:
N 0.0000 0.0000 0.0000  0.01
Nb 0.5000 0.0000 0.0000  0.07
Nb 0.0000 0.5000 0.0000  0.07
Co 0.0000 0.0000 0.5000  0.93
In 0.5000 0.5000 0.5000  0.01

Properties
V: 14.7 Å³ per atom
Fermi-level density of states: 4.2 states/eV per cell
Symmetry: No. 123
Total magnetization: 1.11 μB per formula unit
Electronic total energy: -0.292 Ha/atom
Energy relative to the elements, uncorrected: -28.6 kJ/mol of atoms